Entry from Alexandria via LeMat-Bulk: a geometry-optimized Cs2HfCrI6 structure (PBE-GGA).

The structure in extended XYZ format:
```
10
Lattice="-3.722 -2.138 7.198 -2.825 -7.045 -3.554 1.646 -7.424 3.525" Properties=species:S:1:pos:R:3 pbc="T T T"
Cs -2.675 -7.077 6.272
Cs -2.226 -9.530 0.897
I -0.780 -6.027 2.685
I -4.121 -10.580 4.484
I -1.614 -2.264 0.898
I -4.933 -6.919 2.746
I -3.501 -3.348 4.548
I -3.046 -5.835 -0.904
Hf 0.000 0.000 0.000
Cr -3.274 -4.592 1.822
```

* ΔE_f (raw): -0.823 eV/atom
* SG: Fm-3m
* DOS(E_F): 14.67 states/eV per cell